[1]
Material: TlRe2W
Method: DFT, PBE-GGA
State: relaxed

abc: 9.709 9.709 9.709
angles: 17.03 17.03 17.03
Atoms (fractional coordinates):
Re: 0.742 0.742 0.742
Tl: 0.499 0.499 0.499
Re: 0.003 0.003 0.003
W: 0.256 0.256 0.256

Output
The calculation puts the energy above the lowest structure with this stoichiometry at 0.040 eV per atom. As for the space group: No. 160.



[2]
Material: K2LiIr
Method: DFT, PBE-GGA
State: relaxed

abc: 4.318 2.854 9.585
angles: 84.38 90.00 90.00
Atoms (fractional coordinates):
Ir: 0.500 0.740 0.658
K: 0.000 0.157 0.902
K: 0.500 0.341 0.343
Li: 0.000 0.261 0.598

Output
The calculation puts the energy above the lowest structure with this stoichiometry at 0.000 eV per atom. As for the space group: No. 6.



[3]
Material: LaTc2Ni
Method: DFT, PBE-GGA
State: relaxed

abc: 5.347 5.347 5.347
angles: 144.06 123.98 68.37
Atoms (fractional coordinates):
Ni: 0.216 0.716 0.500
Tc: 0.997 0.997 0.000
La: 0.498 0.498 0.000
Tc: 0.788 0.288 0.500

Output
The calculation puts the energy above the lowest structure with this stoichiometry at 0.392 eV per atom. As for the space group: No. 44.



[4]
Material: Ac4BiAuSe2
Method: DFT, PBE-GGA
State: relaxed

abc: 4.570 8.063 8.004
angles: 70.89 90.00 90.00
Atoms (fractional coordinates):
Ac: 0.500 0.249 0.739
Ac: 0.000 0.764 0.740
Au: 0.000 0.500 0.500
Se: 0.500 0.000 0.500
Se: 0.000 0.000 0.000
Bi: 0.500 0.500 0.000
Ac: 0.000 0.236 0.260
Ac: 0.500 0.751 0.261

Output
As for the uncorrected energy: -5.145 eV per atom. As for the space group: No. 10.



[5]
Material: AlCuHg2
Method: DFT, PBE-GGA
State: relaxed

abc: 4.782 4.782 4.958
angles: 79.27 79.27 44.09
Atoms (fractional coordinates):
Hg: 0.002 0.002 0.993
Al: 0.250 0.250 0.250
Cu: 0.750 0.750 0.750
Hg: 0.498 0.498 0.507

Output
As for the uncorrected energy: -1.918 eV per atom. As for the space group: No. 12.



[6]
Material: HfCoGe
Method: DFT, PBE-GGA
State: relaxed

abc: 3.044 3.044 5.384
angles: 106.42 106.42 90.00
Site moments in Bohr magnetons follow the coordinates.
Atoms (fractional coordinates):
Ge: 0.308 0.308 0.617  -0.01
Hf: 0.609 0.609 0.218  0.01
Co: 0.932 0.932 0.865  0.34

Output
As for the uncorrected energy: -7.546 eV per atom. As for the space group: No. 107.



[7]
Material: Sm4AlNi3
Method: DFT, PBE-GGA
State: relaxed

abc: 3.839 4.333 10.817
angles: 90.00 90.00 90.00
Atoms (fractional coordinates):
Sm: 0.000 0.500 0.845
Ni: 0.500 0.000 0.930
Sm: 0.500 0.500 0.372
Ni: 0.000 0.000 0.437
Al: 0.500 0.500 0.062
Sm: 0.500 0.000 0.634
Sm: 0.000 0.000 0.150
Ni: 0.000 0.500 0.571

Output
As for the uncorrected energy: -5.337 eV per atom. As for the space group: No. 25.



[8]
Material: CsBiSbSe3
Method: DFT, PBE-GGA
State: relaxed

abc: 4.545 9.161 11.870
angles: 113.20 90.00 90.00
Atoms (fractional coordinates):
Cs: 0.750 0.767 0.734
Bi: 0.750 0.372 0.846
Sb: 0.750 0.872 0.451
Se: 0.250 0.676 0.420
Se: 0.250 0.601 0.902
Se: 0.750 0.399 0.098
Se: 0.750 0.877 0.233
Se: 0.250 0.123 0.767
Cs: 0.250 0.233 0.266
Se: 0.750 0.324 0.580
Sb: 0.250 0.128 0.549
Bi: 0.250 0.628 0.154

Output
As for the uncorrected energy: -3.764 eV per atom. As for the space group: No. 11.



no.,V (Å³ per cell)
1,69
2,118
3,73
4,279
5,77
6,46
7,180
8,454